# 1
VASP calculation (meta-GGA SCAN) on a crystal of Mg2GeHIr relaxed with PBEsol.

Cell lengths 5.0397, 5.0397, 4.5098 Å; angles 90.00, 90.00, 90.00 degrees
Atoms (fractional coordinates):
Mg 0.0000 0.5000 0.0000
Mg 0.5000 0.0000 0.0000
Ge 0.0000 0.0000 0.0000
H 0.5000 0.5000 0.5000
Ir 0.0000 0.0000 0.5000

For the raw total energy, the calculation gives -19.91 eV/atom. The value obtained for the magnetic moment is 0.7 μB per cell. The space group is P4/mmm (123).

# 2
VASP calculation (meta-GGA SCAN) on a crystal of ZrSb5 relaxed with PBEsol.

Cell lengths 5.1643, 8.0798, 8.0798 Å; angles 27.17, 90.00, 90.00 degrees
Atoms (fractional coordinates):
Zr 0.0000 0.0000 0.0000
Sb 0.0000 0.3465 0.3465
Sb 0.0000 0.6456 0.6456
Sb 0.5000 0.1009 0.1009
Sb 0.5000 0.4452 0.4452
Sb 0.5000 0.7530 0.7530

For the raw total energy, the calculation gives -36.21 eV/atom. The value obtained for the magnetic moment is 0.0 μB per cell. The calculation puts the formation energy from raw total energies at -0.3 eV per formula unit. The calculation puts the offset from the most stable computed form at 0.00 kJ/mol of atoms. The space group is Amm2 (38).

# 3
VASP calculation (meta-GGA SCAN) on a crystal of Hf2Ag2Pb relaxed with PBEsol.

Cell lengths 6.7317, 6.7317, 6.7317 Å; angles 142.45, 142.45, 54.15 degrees
Atoms (fractional coordinates):
Hf 0.2500 0.7500 0.5000
Hf 0.7500 0.2500 0.5000
Ag 0.1057 0.1057 0.0000
Ag 0.8943 0.8943 0.0000
Pb 0.5000 0.5000 0.0000

The calculation puts the formation enthalpy at 0 K at 0.2854 eV per atom. For the raw total energy, the calculation gives -52.49 eV/atom. The value obtained for the magnetic moment is 0.0 μB per cell. The space group is I4/mmm (139).

# 4
VASP calculation (meta-GGA SCAN) on a crystal of Te2Se relaxed with PBEsol.

Cell lengths 11.5242, 11.5242, 3.9833 Å; angles 90.00, 90.00, 160.71 degrees
Atoms (fractional coordinates):
Te 0.0662 0.9338 0.7500
Te 0.2737 0.7263 0.2500
Te 0.7263 0.2737 0.7500
Te 0.9338 0.0662 0.2500
Se 0.4044 0.5956 0.7500
Se 0.5956 0.4044 0.2500

For the raw total energy, the calculation gives -31.41 eV/atom. The value obtained for the magnetic moment is 0.0 μB per cell. The calculation puts the formation energy from raw total energies at 0.4 eV per formula unit. The calculation puts the offset from the most stable computed form at 8.27 kJ/mol of atoms. The space group is Cmcm (63).